# AlMoN2

An optimized crystal structure of AlMoN2 (PBE-GGA, Alexandria via LeMat-Bulk).

Summary:
**Energy relative to the elements, uncorrected**: -455 meV per atom
**E**: -8.261 eV/atom

Cell: 4.686 4.686 5.396 Å, 64.27 64.27 90.00°
Atoms (fractional coordinates):
Mo 0.000 0.000 0.000
Mo 0.750 0.250 0.500
Al 0.500 0.500 0.000
Al 0.250 0.750 0.500
N 0.597 0.125 0.250
N 0.153 0.625 0.250
N 0.375 0.403 0.750
N 0.875 0.847 0.750